This record from Alexandria describes a relaxed structure of ErTmO2. The functional is GGA-PBE.

abc: 3.564 3.564 6.713
angles: 74.60 74.60 60.00
Sites, in units of the cell vectors:
O1 0.887 0.887 0.338
Tm1 0.000 0.000 0.000
Er1 0.500 0.500 0.500
O2 0.113 0.113 0.662

This record from Alexandria describes a relaxed structure of Er2TmO. The functional is GGA-PBE.

Computed properties:
- energy above the lowest structure with this stoichiometry (eV per atom) = 0.5266

abc: 3.166 3.166 8.526
angles: 90.00 90.00 90.00
Sites, in units of the cell vectors:
Er1 0.000 0.000 0.821
O1 0.500 0.500 0.000
Er2 0.000 0.000 0.179
Tm1 0.500 0.500 0.500

This record from Alexandria describes a relaxed structure of Er2TmO4. The functional is GGA-PBE.

abc: 3.343 5.806 9.839
angles: 90.00 90.00 90.00
Sites, in units of the cell vectors:
O1 0.500 0.746 0.037
Tm1 0.000 0.500 0.000
Er1 0.500 0.059 0.167
Er2 0.500 0.559 0.333
Er3 0.500 0.941 0.833
O2 0.500 0.254 0.963
O3 0.000 0.350 0.211
Er4 0.500 0.441 0.667
O4 0.000 0.850 0.289
O5 0.000 0.150 0.711
O6 0.500 0.754 0.537
O7 0.000 0.650 0.789
Tm2 0.000 0.000 0.500
O8 0.500 0.246 0.463

This record from Alexandria describes a relaxed structure of ErTmO3. The functional is GGA-PBE.

abc: 3.006 5.876 5.876
angles: 60.01 90.00 90.00
Sites, in units of the cell vectors:
O1 0.720 0.267 0.727
Er1 0.220 0.099 0.062
O2 0.720 0.267 0.230
Tm1 0.220 0.433 0.396
O3 0.720 0.765 0.229

This record from Alexandria describes a relaxed structure of Er2TmO. The functional is GGA-PBE.

Computed properties:
- energy above the lowest structure with this stoichiometry (eV per atom) = 0.0000

abc: 3.482 3.482 8.768
angles: 78.55 78.55 60.00
Sites, in units of the cell vectors:
Tm1 0.500 0.500 0.500
Er1 0.280 0.280 0.159
Er2 0.720 0.720 0.841
O1 0.000 0.000 0.000

This record from Alexandria describes a relaxed structure of ErTm2O4. The functional is GGA-PBE.

abc: 5.195 5.195 5.223
angles: 90.00 90.00 90.00
Sites, in units of the cell vectors:
Tm1 0.500 0.000 0.500
O1 0.216 0.784 0.714
Tm2 0.000 0.500 0.500
O2 0.784 0.784 0.286
Er1 0.000 0.000 0.000
O3 0.784 0.216 0.714
O4 0.216 0.216 0.286

This record from Alexandria describes a relaxed structure of ErTmO4. The functional is GGA-PBE.

abc: 3.662 3.858 6.124
angles: 95.20 90.00 118.33
Sites, in units of the cell vectors:
O1 0.845 0.690 0.697
O2 0.397 0.793 0.106
Tm1 0.431 0.863 0.478
Er1 0.069 0.137 0.022
O3 0.655 0.310 0.800
O4 0.104 0.207 0.397

This record from Alexandria describes a relaxed structure of ErTm2UO8. The functional is GGA-PBE.

abc: 3.825 5.250 7.466
angles: 90.00 90.00 90.02
Sites, in units of the cell vectors:
O1 0.000 0.756 0.231
O2 0.500 0.748 0.500
O3 0.500 0.764 0.000
Er1 0.000 0.000 0.500
Tm1 0.500 0.500 0.748
O4 0.000 0.244 0.231
O5 0.500 0.252 0.500
O6 0.000 0.244 0.769
O7 0.000 0.756 0.769
U1 0.000 0.000 0.000
Tm2 0.500 0.500 0.252
O8 0.500 0.236 0.000

Let's list energy relative to the elements, uncorrected in order: -68.640, -19.202, -76.680, -79.540, -31.344, -69.751, -69.792, -76.438 kcal/mol of atoms.
Let's list size of the total moment in order: 0.00, 0.00, 0.00, 0.00, 0.01, 0.00, 0.00, 0.00 μB/f.u..